Entry 1:
This record from Alexandria via LeMat-Bulk describes Sc4GePd3 after structural relaxation. The functional is PBE.

Cell and atoms, written as POSCAR:
```
Sc4GePd3
1.0
2.347 1.355 7.691
-2.347 1.355 7.691
0.000 -2.710 7.691
Sc Ge Pd
4 1 3
Direct
0.123 0.123 0.123
0.374 0.374 0.374
0.626 0.626 0.626
0.877 0.877 0.877
0.500 0.500 0.500
0.000 0.000 0.000
0.249 0.249 0.249
0.751 0.751 0.751
```

- ΔH_f (0 K) (eV/atom) = -0.860
- calculated total energy (eV per atom) = -6.550
- SG = R-3m

***

Entry 2:
This record from Alexandria via LeMat-Bulk describes BaCa2TlO after structural relaxation. The functional is PBE.

Cell and atoms, written as POSCAR:
```
BaCa2TlO
1.0
4.978 0.000 0.000
0.000 4.978 0.000
0.000 0.000 5.507
Ba Ca Tl O
1 2 1 1
Direct
0.000 0.000 0.000
0.000 0.500 0.500
0.500 0.000 0.500
0.500 0.500 0.000
0.000 0.000 0.500
```

- calculated total energy (eV per atom) = -3.899
- energy relative to the elements, uncorrected (eV/atom) = -1.25
- SG = P4/mmm

***

Entry 3:
This record from Alexandria via LeMat-Bulk describes Ce2Zn3Ni after structural relaxation. The functional is PBE.

Cell and atoms, written as POSCAR:
```
Ce2Zn3Ni
1.0
3.350 0.000 0.000
0.000 4.520 0.000
0.000 0.000 7.807
Ce Zn Ni
2 3 1
Direct
0.000 0.000 0.000
0.000 0.500 0.461
0.500 0.000 0.642
0.500 0.500 0.144
0.500 0.500 0.808
0.500 0.000 0.310
```

- ΔH_f (0 K) (eV/atom) = -0.309
- calculated total energy (eV per atom) = -3.888
- SG = Pmm2

***

Entry 4:
This record from Alexandria via LeMat-Bulk describes ScBiI3 after structural relaxation. The functional is PBE.

Cell and atoms, written as POSCAR:
```
ScBiI3
1.0
5.822 0.000 0.000
0.000 5.822 0.000
0.000 0.000 5.822
Sc Bi I
1 1 3
Direct
0.000 0.000 0.000
0.500 0.500 0.500
0.000 0.000 0.500
0.000 0.500 0.000
0.500 0.000 0.000
```

- distance to the lowest polymorph of the same formula (eV/f.u.) = 0.00
- calculated total energy (eV per atom) = -3.333
- energy relative to the elements, uncorrected (eV/atom) = -0.36
- SG = Pm-3m

***

Entry 5:
This record from Alexandria via LeMat-Bulk describes PmCu6P4 after structural relaxation. The functional is PBE.

Cell and atoms, written as POSCAR:
```
PmCu6P4
1.0
6.954 0.000 0.000
-3.477 6.023 0.000
0.000 0.000 3.798
Pm Cu P
1 6 4
Direct
0.000 0.000 0.000
0.205 0.411 0.500
0.205 0.795 0.500
0.537 0.073 0.000
0.537 0.463 0.000
0.589 0.795 0.500
0.927 0.463 0.000
0.333 0.667 0.000
0.377 0.188 0.500
0.812 0.188 0.500
0.812 0.623 0.500
```

- ΔH_f (0 K) (eV/atom) = -0.249
- calculated total energy (eV per atom) = -4.882
- SG = P-6m2

***

Entry 6:
This record from Alexandria via LeMat-Bulk describes Ho2ThTl after structural relaxation. The functional is PBE.

Cell and atoms, written as POSCAR:
```
Ho2ThTl
1.0
0.000 3.861 3.861
3.861 0.000 3.861
3.861 3.861 0.000
Ho Th Tl
2 1 1
Direct
0.250 0.250 0.250
0.750 0.750 0.750
0.000 0.000 0.000
0.500 0.500 0.500
```

- distance to the lowest polymorph of the same formula (eV/f.u.) = 1.05
- ΔH_f (0 K) (eV/atom) = 0.076
- calculated total energy (eV per atom) = -4.659
- SG = Fm-3m